Record 1
First-principles (PBE) data for a relaxed structure of EuGaCuSn, as listed in Alexandria.

It has space group F-43m (No. 216), with a = 7.023 Å, b = 7.023 Å, c = 7.023 Å, α = 90.00°, β = 90.00° and γ = 90.00°. The inequivalent atoms are Eu at (0.000, 0.000, 0.000), Ga at (0.250, 0.250, 0.250), Cu at (0.250, 0.250, 0.750) and Sn at (0.000, 0.000, 0.500).

As for the crystal system: cubic. The calculation puts the volume at 87 Å³/f.u. The formation energy is -0.2634 eV per atom.



Record 2
First-principles (PBE) data for a relaxed structure of Mn2OsPt, as listed in Alexandria.

It has space group Cm (No. 8), with a = 8.947 Å, b = 2.728 Å, c = 4.583 Å, α = 90.00°, β = 99.61° and γ = 90.00°. The inequivalent atoms are Mn at (0.000, 0.000, 0.000), Mn at (0.242, 0.000, 0.722), Os at (0.243, 0.500, 0.203) and Pt at (0.492, 0.000, 0.495).

As for the crystal system: monoclinic. The calculation puts the volume at 55 Å³/f.u. The formation energy is 0.0188 eV per atom.